1.
CrO2 (meta-GGA SCAN, single point on PBEsol structure); raw formation energy = -2.2156 eV/atom
1.0
6.7635 -1.4417 0.0000
6.7635 1.4417 0.0000
-0.1770 0.0000 4.5323
Cr O
3 6
direct
0.0000 0.0000 0.0000 Cr
0.3435 0.3435 0.4779 Cr
0.6565 0.6565 0.5221 Cr
0.0969 0.0969 0.3105 O
0.2275 0.2275 0.7034 O
0.4357 0.4357 0.1860 O
0.5643 0.5643 0.8140 O
0.7725 0.7725 0.2966 O
0.9031 0.9031 0.6895 O


2.
Nb2AlWSe (meta-GGA SCAN, single point on PBEsol structure); raw formation energy = 1.0857 eV/atom
1.0
4.8466 0.0000 0.0000
0.0000 4.8466 0.0000
0.0000 0.0000 4.7786
Nb Al W Se
2 1 1 1
direct
0.0000 0.5000 0.0000 Nb
0.5000 0.0000 0.0000 Nb
0.0000 0.0000 0.5000 Al
0.0000 0.0000 0.0000 W
0.5000 0.5000 0.5000 Se


3.
Si2IrAu (meta-GGA SCAN, single point on PBEsol structure); raw formation energy = -0.2671 eV/atom
1.0
3.4329 0.0000 0.0000
0.0000 3.4329 0.0000
0.0000 0.0000 4.9555
Si Ir Au
2 1 1
direct
0.0000 0.0000 0.0000 Si
0.5000 0.5000 0.3259 Si
0.5000 0.5000 0.8447 Ir
0.0000 0.0000 0.4985 Au


4.
TaAgAu2 (meta-GGA SCAN, single point on PBEsol structure); formation enthalpy at 0 K = 0.969 eV/f.u.
1.0
2.8100 0.0000 0.0000
0.0000 4.8972 0.0000
0.0000 0.0000 4.9935
Ta Ag Au
1 1 2
direct
0.0000 0.0000 0.0000 Ta
0.5000 0.0000 0.5000 Ag
0.0000 0.5000 0.5000 Au
0.5000 0.5000 0.0000 Au


5.
KRuSe2 (meta-GGA SCAN, single point on PBEsol structure); raw formation energy = 0.8146 eV/atom
1.0
6.7555 0.0000 0.0000
0.0000 6.7555 0.0000
0.0000 0.0000 6.7555
K Ru Se
4 4 8
direct
0.0000 0.0000 0.0000 K
0.0000 0.5000 0.5000 K
0.5000 0.0000 0.5000 K
0.5000 0.5000 0.0000 K
0.2500 0.2500 0.7500 Ru
0.2500 0.7500 0.2500 Ru
0.7500 0.2500 0.2500 Ru
0.7500 0.7500 0.7500 Ru
0.0000 0.0000 0.5000 Se
0.0000 0.5000 0.0000 Se
0.2500 0.2500 0.2500 Se
0.2500 0.7500 0.7500 Se
0.5000 0.0000 0.0000 Se
0.5000 0.5000 0.5000 Se
0.7500 0.2500 0.7500 Se
0.7500 0.7500 0.2500 Se


6.
KBa3 (meta-GGA SCAN, single point on PBEsol structure); formation enthalpy at 0 K = 0.381 eV/f.u.
1.0
4.3402 0.0000 0.0000
0.0000 14.6233 0.0000
0.0000 0.0000 7.7585
K Ba
2 6
direct
0.0000 0.0000 0.0000 K
0.5000 0.5000 0.5000 K
0.0000 0.2499 0.6836 Ba
0.0000 0.5000 0.9998 Ba
0.0000 0.7501 0.6836 Ba
0.5000 0.0000 0.4998 Ba
0.5000 0.2501 0.1836 Ba
0.5000 0.7499 0.1836 Ba


7.
SrTl2Ru (meta-GGA SCAN, single point on PBEsol structure); formation enthalpy at 0 K = 0.866 eV/f.u.
1.0
3.5807 0.0000 0.0000
0.0000 3.5807 0.0000
0.0000 0.0000 7.6330
Sr Tl Ru
1 2 1
direct
0.0000 0.0000 0.0000 Sr
0.0000 0.0000 0.5861 Tl
0.5000 0.5000 0.3288 Tl
0.5000 0.5000 0.7300 Ru


8.
TlCoSe2 (meta-GGA SCAN, single point on PBEsol structure); raw formation energy = -0.0184 eV/atom
1.0
3.2179 0.0000 0.0000
0.0000 3.2179 0.0000
0.0000 0.0000 8.3735
Tl Co Se
1 1 2
direct
0.0000 0.0000 0.0000 Tl
0.5000 0.5000 0.4781 Co
0.0000 0.0000 0.3950 Se
0.5000 0.5000 0.7449 Se


9.
Ca2AsPb (meta-GGA SCAN, single point on PBEsol structure); formation enthalpy at 0 K = -3.004 eV/f.u.
1.0
12.2733 0.0000 0.0000
0.0000 3.8443 0.0000
-1.8028 0.0000 4.5003
Ca As Pb
4 2 2
direct
0.0000 0.0000 0.0000 Ca
0.2200 0.0000 0.6976 Ca
0.5000 0.5000 0.0000 Ca
0.7200 0.5000 0.6976 Ca
0.2184 0.5000 0.1768 As
0.7184 0.0000 0.1768 As
0.4280 0.0000 0.4344 Pb
0.9280 0.5000 0.4344 Pb


10.
Y2TcAu (meta-GGA SCAN, single point on PBEsol structure); formation enthalpy at 0 K = -0.658 eV/f.u.
1.0
3.8094 0.0000 0.0000
0.0000 3.8094 0.0000
0.0000 0.0000 5.9979
Y Tc Au
2 1 1
direct
0.0000 0.0000 0.0000 Y
0.5000 0.5000 0.3606 Y
0.5000 0.5000 0.8427 Tc
0.0000 0.0000 0.5325 Au


11.
TaPRu3 (meta-GGA SCAN, single point on PBEsol structure); formation enthalpy at 0 K = 1.431 eV/f.u.
1.0
4.2555 0.0000 0.0000
0.0000 4.2555 0.0000
0.0000 0.0000 4.2555
Ta P Ru
1 1 3
direct
0.0000 0.0000 0.0000 Ta
0.5000 0.5000 0.5000 P
0.0000 0.5000 0.5000 Ru
0.5000 0.0000 0.5000 Ru
0.5000 0.5000 0.0000 Ru


12.
LaAlTe (meta-GGA SCAN, single point on PBEsol structure); raw formation energy = -0.6324 eV/atom
1.0
3.7813 0.0000 0.0000
0.0000 3.7813 0.0000
0.0000 0.0000 10.7537
La Al Te
2 2 2
direct
0.0000 0.0000 0.0000 La
0.5000 0.5000 0.5000 La
0.0000 0.0000 0.6873 Al
0.5000 0.5000 0.1873 Al
0.0000 0.0000 0.3137 Te
0.5000 0.5000 0.8137 Te


13.
ScCd5 (meta-GGA SCAN, single point on PBEsol structure); formation enthalpy at 0 K = -1.137 eV/f.u.
1.0
4.3689 0.0000 0.0000
0.0000 12.5836 0.0000
0.0000 0.0000 4.4732
Sc Cd
2 10
direct
0.0000 0.0000 0.0000 Sc
0.5000 0.5000 0.0000 Sc
0.0000 0.1629 0.5000 Cd
0.0000 0.3295 0.0000 Cd
0.0000 0.5000 0.5000 Cd
0.0000 0.6705 0.0000 Cd
0.0000 0.8371 0.5000 Cd
0.5000 0.0000 0.5000 Cd
0.5000 0.1705 0.0000 Cd
0.5000 0.3371 0.5000 Cd
0.5000 0.6629 0.5000 Cd
0.5000 0.8295 0.0000 Cd


14.
PbAuBr2 (meta-GGA SCAN, single point on PBEsol structure); raw formation energy = -0.0073 eV/atom
1.0
3.7834 0.0000 0.0000
0.0000 3.7834 0.0000
0.0000 0.0000 6.8152
Pb Au Br
1 1 2
direct
0.0000 0.0000 0.0000 Pb
0.0000 0.0000 0.5000 Au
0.5000 0.5000 0.2562 Br
0.5000 0.5000 0.7438 Br


For each record above, in turn, the calculated total magnetic moment values are 2.000, 0.000, 0.000, 0.000, 1.382, 0.009, 0.000, 1.078, 0.000, 0.000, 0.000, 0.008, 0.000, 0.000 μB per formula unit.